No. 1
# ScFeBPd

An optimized crystal structure of ScFeBPd (PBE, OQMD via LeMat-Bulk).

## Properties
For the uncorrected energy, the calculation gives -6.486 eV/atom.

Cell: 4.265 4.265 4.265 Å, 60.00 60.00 60.00°
Element x y z (fractional)
B 0.000 0.000 0.000
Pd 0.500 0.500 0.500
Fe 0.750 0.750 0.750
Sc 0.250 0.250 0.250



No. 2
# FeTcBPd

An optimized crystal structure of FeTcBPd (PBE, OQMD via LeMat-Bulk).

## Properties
For the uncorrected energy, the calculation gives -7.102 eV/atom.

Cell: 4.097 4.097 4.097 Å, 60.00 60.00 60.00°
Element x y z (fractional)
Pd 0.500 0.500 0.500
B 0.000 0.000 0.000
Tc 0.250 0.250 0.250
Fe 0.750 0.750 0.750



No. 3
# YFeBPd

An optimized crystal structure of YFeBPd (PBE, OQMD via LeMat-Bulk).

## Properties
For the uncorrected energy, the calculation gives -6.234 eV/atom.

Cell: 4.376 4.376 4.376 Å, 60.00 60.00 60.00°
Element x y z (fractional)
Pd 0.250 0.250 0.250
Fe 0.750 0.750 0.750
B 0.000 0.000 0.000
Y 0.500 0.500 0.500



No. 4
# YFeBPd

An optimized crystal structure of YFeBPd (PBE, OQMD via LeMat-Bulk).

## Properties
For the uncorrected energy, the calculation gives -6.372 eV/atom.

Cell: 4.467 4.467 4.467 Å, 60.00 60.00 60.00°
Element x y z (fractional)
B 0.000 0.000 0.000
Y 0.250 0.250 0.250
Pd 0.500 0.500 0.500
Fe 0.750 0.750 0.750



No. 5
# ZnFeBPd

An optimized crystal structure of ZnFeBPd (PBE, OQMD via LeMat-Bulk).

## Properties
For the uncorrected energy, the calculation gives -4.897 eV/atom.

Cell: 4.103 4.103 4.103 Å, 60.00 60.00 60.00°
Element x y z (fractional)
B 0.000 0.000 0.000
Pd 0.500 0.500 0.500
Zn 0.250 0.250 0.250
Fe 0.750 0.750 0.750



No. 6
# ZnFeBPd

An optimized crystal structure of ZnFeBPd (PBE, OQMD via LeMat-Bulk).

## Properties
For the uncorrected energy, the calculation gives -5.071 eV/atom.

Cell: 3.988 3.988 3.988 Å, 60.00 60.00 60.00°
Element x y z (fractional)
Fe 0.750 0.750 0.750
Zn 0.500 0.500 0.500
B 0.000 0.000 0.000
Pd 0.250 0.250 0.250



No. 7
# ZrFeBPd

An optimized crystal structure of ZrFeBPd (PBE, OQMD via LeMat-Bulk).

## Properties
For the uncorrected energy, the calculation gives -7.009 eV/atom.

Cell: 4.326 4.326 4.326 Å, 60.00 60.00 60.00°
Element x y z (fractional)
Zr 0.250 0.250 0.250
B 0.000 0.000 0.000
Pd 0.500 0.500 0.500
Fe 0.750 0.750 0.750



No. 8
# ZrFeBPd

An optimized crystal structure of ZrFeBPd (PBE, OQMD via LeMat-Bulk).

## Properties
For the uncorrected energy, the calculation gives -6.959 eV/atom.

Cell: 4.248 4.248 4.248 Å, 60.00 60.00 60.00°
Element x y z (fractional)
B 0.000 0.000 0.000
Zr 0.500 0.500 0.500
Pd 0.250 0.250 0.250
Fe 0.750 0.750 0.750



No. 9
# PmFe4B4

An optimized crystal structure of PmFe4B4 (PBE, OQMD via LeMat-Bulk).

## Properties
For the uncorrected energy, the calculation gives -7.635 eV/atom.

Cell: 7.026 7.026 3.806 Å, 90.00 90.00 90.00°
Last column: magnetic moment on the atom in μB.
Element x y z (fractional)
B 0.166 0.701 0.606  -0.02
B 0.799 0.666 0.106  -0.01
B 0.201 0.334 0.106  -0.01
B 0.834 0.299 0.606  -0.02
B 0.701 0.834 0.394  -0.01
B 0.666 0.201 0.894  -0.02
B 0.334 0.799 0.894  -0.02
B 0.299 0.166 0.394  -0.01
Fe 0.868 0.387 0.107  0.25
Fe 0.113 0.368 0.607  0.22
Fe 0.613 0.868 0.893  0.21
Fe 0.387 0.132 0.893  0.22
Fe 0.887 0.632 0.607  0.21
Fe 0.632 0.113 0.393  0.25
Fe 0.368 0.887 0.393  0.25
Fe 0.132 0.613 0.107  0.25
Pm 0.000 0.000 0.000  -0.03
Pm 0.500 0.500 0.500  -0.03



No. 10
# PmFe2B6

An optimized crystal structure of PmFe2B6 (PBE, OQMD via LeMat-Bulk).

## Properties
For the uncorrected energy, the calculation gives -7.319 eV/atom.

Cell: 5.399 5.399 5.399 Å, 145.89 109.37 80.81°
Element x y z (fractional)
Pm 0.000 0.000 0.000
B 0.463 0.697 0.766
B 0.537 0.303 0.234
B 0.068 0.303 0.766
B 0.361 0.500 0.861
B 0.932 0.697 0.234
B 0.639 0.500 0.139
Fe 0.656 0.156 0.500
Fe 0.344 0.844 0.500



No. 11
# PmFeB

An optimized crystal structure of PmFeB (PBE, OQMD via LeMat-Bulk).

## Properties
For the uncorrected energy, the calculation gives -5.137 eV/atom.

Cell: 4.321 4.321 4.321 Å, 60.00 60.00 60.00°
Last column: magnetic moment on the atom in μB.
Element x y z (fractional)
B 0.250 0.250 0.250  -0.04
Pm 0.000 0.000 0.000  -0.07
Fe 0.750 0.750 0.750  2.50



No. 12
# PmFeB

An optimized crystal structure of PmFeB (PBE, OQMD via LeMat-Bulk).

## Properties
For the uncorrected energy, the calculation gives -6.143 eV/atom.

Cell: 4.194 4.194 4.194 Å, 60.00 60.00 60.00°
Last column: magnetic moment on the atom in μB.
Element x y z (fractional)
Fe 0.250 0.250 0.250  2.65
Pm 0.750 0.750 0.750  -0.09
B 0.000 0.000 0.000  -0.08



No. 13
# PrFeB

An optimized crystal structure of PrFeB (PBE, OQMD via LeMat-Bulk).

## Properties
For the uncorrected energy, the calculation gives -5.089 eV/atom.

Cell: 4.360 4.360 4.360 Å, 60.00 60.00 60.00°
Element x y z (fractional)
Pr 0.000 0.000 0.000
Fe 0.750 0.750 0.750
B 0.250 0.250 0.250



No. 14
# PrFeB

An optimized crystal structure of PrFeB (PBE, OQMD via LeMat-Bulk).

## Properties
For the uncorrected energy, the calculation gives -6.067 eV/atom.

Cell: 4.262 4.262 4.262 Å, 60.00 60.00 60.00°
Last column: magnetic moment on the atom in μB.
Element x y z (fractional)
Fe 0.250 0.250 0.250  2.78
B 0.000 0.000 0.000  -0.05
Pr 0.750 0.750 0.750  -0.06